[1]
The following is a PBE calculation of crystalline Sm2TmCo2 at its relaxed geometry, from Alexandria.

Unit cell a=3.852 b=6.514 c=9.675 alpha=82.38 beta=78.52 gamma=72.80
Fractional coordinates of all 10 atoms:
Sm  0.335  0.254  0.075
Sm  0.468  0.371  0.693
Sm  0.665  0.746  0.925
Sm  0.532  0.629  0.307
Tm  0.782  0.071  0.364
Tm  0.218  0.929  0.636
Co  0.995  0.119  0.892
Co  0.106  0.332  0.457
Co  0.005  0.881  0.108
Co  0.894  0.668  0.543

Computed properties:
SG: C2/m (12)
Polymorph energy (0 for the lowest one), eV per atom: 0.000

[2]
The following is a PBE calculation of crystalline LaGdRh4 at its relaxed geometry, from Alexandria.

Unit cell a=5.406 b=5.406 c=5.406 alpha=60.00 beta=60.00 gamma=60.00
Fractional coordinates of all 6 atoms:
Gd  0.250  0.250  0.250
Rh  0.625  0.625  0.126
Rh  0.625  0.126  0.625
Rh  0.625  0.625  0.625
Rh  0.126  0.625  0.625
La  0.000  0.000  0.000

Computed properties:
SG: F-43m (216)
VASP energy, hartree per atom: -0.322

[3]
The following is a PBE calculation of crystalline Dy3Ho2Cd2 at its relaxed geometry, from Alexandria.

Unit cell a=5.062 b=3.456 c=11.605 alpha=90.00 beta=77.40 gamma=90.00
Fractional coordinates of all 7 atoms:
Dy  0.853  0.000  0.294
Dy  0.000  0.000  0.000
Dy  0.147  0.000  0.706
Ho  0.710  0.500  0.579
Ho  0.290  0.500  0.421
Cd  0.569  0.500  0.863
Cd  0.431  0.500  0.137

Computed properties:
SG: Cmmm (65)
Polymorph energy (0 for the lowest one), eV per atom: 0.103

[4]
The following is a PBE calculation of crystalline CuIrS2 at its relaxed geometry, from Alexandria.

Unit cell a=7.307 b=6.378 c=3.601 alpha=106.39 beta=119.52 gamma=70.58
Fractional coordinates of all 8 atoms:
S  0.486  0.212  0.032
S  0.227  0.816  0.575
S  0.702  0.795  0.539
S  0.960  0.191  0.996
Ir  0.849  0.994  0.286
Ir  0.338  0.013  0.284
Cu  0.807  0.552  0.023
Cu  0.381  0.455  0.548

Computed properties:
Uncorrected formation energy, meV/atom: -238
SG: C2/m (12)

[5]
The following is a PBE calculation of crystalline NdDyHo2Se6 at its relaxed geometry, from Alexandria.

Unit cell a=7.262 b=7.262 c=7.731 alpha=61.98 beta=61.99 gamma=60.00
Fractional coordinates of all 10 atoms:
Nd  0.813  0.813  0.561
Dy  0.318  0.318  0.047
Ho  0.515  0.515  0.455
Ho  0.012  0.012  0.964
Se  0.613  0.228  0.247
Se  0.227  0.913  0.247
Se  0.913  0.613  0.247
Se  0.397  0.726  0.749
Se  0.726  0.128  0.749
Se  0.128  0.398  0.749

Computed properties:
Uncorrected formation energy, meV/atom: -1846
SG: R3 (146)

[6]
The following is a PBE calculation of crystalline CeSnRh2 at its relaxed geometry, from Alexandria.

Unit cell a=3.389 b=3.389 c=6.729 alpha=90.00 beta=90.00 gamma=90.00
Fractional coordinates of all 4 atoms:
Rh  0.000  0.000  0.778
Rh  0.000  0.000  0.222
Sn  0.500  0.500  0.000
Ce  0.500  0.500  0.500

Computed properties:
SG: P4/mmm (123)
VASP energy, hartree per atom: -0.246

Number 1: ρ 8.61 g cm⁻³, DOS(E_F) 9.69 states/eV per cell. Number 2: ρ 10.52 g cm⁻³, DOS(E_F) 3.78 states/eV per cell. Number 3: ρ 8.73 g cm⁻³, DOS(E_F) 6.86 states/eV per cell. Number 4: ρ 7.79 g cm⁻³, DOS(E_F) 0.00 states/eV per cell. Number 5: ρ 6.22 g cm⁻³, DOS(E_F) 0.00 states/eV per cell. Number 6: ρ 9.98 g cm⁻³, DOS(E_F) 5.68 states/eV per cell.